# 1
# Mg3ReSn

A relaxed structure of Mg3ReSn (GGA-PBE, Alexandria).

The value obtained for the magnetization is 0.0 μB/cell. As for the relative energy among the computed polymorphs: 0 meV per atom. The calculated formation energy comes out at 872 meV per atom.

The structure belongs to space group Pm-3m (No. 221); the cell edges are 5.075, 5.075 and 5.075 Å and the angles 90.00°, 90.00° and 90.00°. The asymmetric unit holds Mg at (0.000, 0.000, 0.500), Re at (0.000, 0.000, 0.000) and Sn at (0.500, 0.500, 0.500).



# 2
# SrTc2Ge2P

A relaxed structure of SrTc2Ge2P (GGA-PBE, Alexandria).

The value obtained for the magnetization is 0.0 μB/cell. The calculated formation energy comes out at -314 meV per atom.

The structure belongs to space group P4/mmm (No. 123); the cell edges are 4.481, 4.481 and 5.810 Å and the angles 90.00°, 90.00° and 90.00°. The asymmetric unit holds Sr at (0.000, 0.000, 0.000), Tc at (0.000, 0.500, 0.500), Ge at (0.500, 0.500, 0.232) and P at (0.000, 0.000, 0.500).



# 3
# LiAc3W2N6

A relaxed structure of LiAc3W2N6 (GGA-PBE, Alexandria).

The calculation puts the uncorrected formation energy at -0.8072 eV per atom. The value obtained for the magnetization is 0.0 μB/cell.

The structure belongs to space group P-3m1 (No. 164); the cell edges are 5.9670, 5.9670 and 6.9867 Å and the angles 90.00°, 90.00° and 120.00°. The asymmetric unit holds Li at (0.0000, 0.0000, 0.0000), Ac at (0.0000, 0.0000, 0.5000), Ac at (0.3333, 0.6667, 0.1636), W at (0.3333, 0.6667, 0.6989) and N at (0.1673, 0.3346, 0.7934).



# 4
# Cs4AgAu2

A relaxed structure of Cs4AgAu2 (GGA-PBE, Alexandria).

The value obtained for the magnetization is 1.1 μB/cell. As for the relative energy among the computed polymorphs: 181 meV per atom. The calculated formation energy comes out at 7 meV per atom.

The structure belongs to space group I4/mmm (No. 139); the cell edges are 6.617, 6.617 and 20.020 Å and the angles 90.00°, 90.00° and 90.00°. The asymmetric unit holds Cs at (0.000, 0.000, 0.187), Cs at (0.000, 0.500, 0.000), Ag at (0.000, 0.000, 0.500) and Au at (0.000, 0.000, 0.363).



# 5
# ErTaCo10

A relaxed structure of ErTaCo10 (GGA-PBE, Alexandria).

The value obtained for the magnetization is 12.9 μB/cell. The calculated formation energy comes out at -27 meV per atom.

The structure belongs to space group Pmmm (No. 47); the cell edges are 3.975, 4.751 and 8.248 Å and the angles 90.00°, 90.00° and 90.00°. The asymmetric unit holds Er at (0.000, 0.000, 0.000), Ta at (0.000, 0.500, 0.500), Co at (0.000, 0.000, 0.345), Co at (0.000, 0.500, 0.182), Co at (0.500, 0.000, 0.500), Co at (0.500, 0.256, 0.259) and Co at (0.500, 0.500, 0.000).



# 6
# LaCrRe2

A relaxed structure of LaCrRe2 (GGA-PBE, Alexandria).

The value obtained for the magnetization is 4.1 μB/cell. As for the relative energy among the computed polymorphs: 405 meV per atom. The calculated formation energy comes out at 748 meV per atom.

The structure belongs to space group C2/m (No. 12); the cell edges are 5.561, 9.424 and 2.859 Å and the angles 90.00°, 111.41° and 90.00°. The asymmetric unit holds La at (0.000, 0.000, 0.000), Cr at (0.000, 0.500, 0.000) and Re at (0.250, 0.250, 0.500).